First-principles (PBE with a Hubbard U) data for a relaxed CsTlCrF6 crystal, as listed in Alexandria via LeMat-Bulk.

Output
- volume (A^3/atom) = 18.5
- uncorrected energy (eV/atom) = -4.912

a b c (Å): 7.6769 8.1232 10.6912
angles (deg): 90.00 90.00 90.00
With the nearest neighbours (Å) after each atom.
Space group Imma (No. 74)
One atom of each set of equivalent atoms:
Cs  0.0000  0.2500  0.0980 [4 per cell]  9 F 3.22-3.24
Tl  0.0000  0.0000  0.5000 [4 per cell]  6 F 2.30-2.56
Cr  0.2500  0.2500  0.7500 [4 per cell]  6 F 1.94-1.96
F  0.0000  0.2500  0.3994 [4 per cell]  2 Tl 2.30
F  0.0000  0.2500  0.7127 [4 per cell]  2 Cr 1.96
F  0.2274  0.0816  0.8775 [16 per cell]  1 Cr 1.94